Computed, not measured: crystalline Sc8As3PS3 at its relaxed geometry at the PBE level of DFT. Values from VASP.

Electronic total energy   -0.51471 Ry per atom
M_tot   0.00 μB per cell
DOS(E_F)   7.1 states/eV/f.u.
Formation energy without anion corrections   -1.5102 eV/atom

The structure in Quantum ESPRESSO input format:
```
&SYSTEM
  ibrav = 0, nat = 15, ntyp = 4
/
ATOMIC_SPECIES
Sc 44.96 Sc.upf
P 30.97 P.upf
S 32.06 S.upf
As 74.92 As.upf
CELL_PARAMETERS angstrom
7.498 0.000 0.000
-3.749 6.495 -0.022
0.000 -4.308 6.198
ATOMIC_POSITIONS crystal
Sc 0.244 0.488 0.740
Sc 0.752 0.996 0.740
P 0.000 0.000 0.500
Sc 0.251 0.501 0.252
S 0.000 0.500 0.500
Sc 0.756 0.004 0.260
As 0.500 0.500 0.000
As 0.000 0.000 0.000
Sc 0.756 0.512 0.260
S 0.500 0.500 0.500
Sc 0.749 0.499 0.748
S 0.500 0.000 0.500
Sc 0.248 0.004 0.260
Sc 0.244 0.996 0.740
As 0.000 0.500 0.000
```